Record 1
# Sr2FePb (PBEsol, relaxed)
data_Sr2FePb
_cell_length_a 3.6734
_cell_length_b 3.6734
_cell_length_c 8.6122
_cell_angle_alpha 90.00
_cell_angle_beta 90.00
_cell_angle_gamma 90.00
_space_group_name_H-M_alt 'P 1'
_space_group_IT_number 1
loop_
_space_group_symop_operation_xyz
'x,y,z'
loop_
_atom_site_label
_atom_site_fract_x
_atom_site_fract_y
_atom_site_fract_z
_atom_site_occupancy
Sr1 0.0000 0.0000 0.2268 1
Sr2 0.0000 0.0000 0.7732 1
Fe1 0.5000 0.5000 0.0000 1
Pb1 0.5000 0.5000 0.5000 1
# Theoretical density ... 6.26 Mg/m³
# Crystal system ... tetragonal
# Total magnetic moment ... 2.6 μB per cell
# Formation energy ... 21.3 kJ per mole of atoms

Record 2
# SiAuC3 (PBEsol, relaxed)
data_SiAuC3
_cell_length_a 4.0472
_cell_length_b 4.0472
_cell_length_c 4.0472
_cell_angle_alpha 90.00
_cell_angle_beta 90.00
_cell_angle_gamma 90.00
_space_group_name_H-M_alt 'P 1'
_space_group_IT_number 1
loop_
_space_group_symop_operation_xyz
'x,y,z'
loop_
_atom_site_label
_atom_site_fract_x
_atom_site_fract_y
_atom_site_fract_z
_atom_site_occupancy
Si1 0.0000 0.0000 0.0000 1
Au1 0.5000 0.5000 0.5000 1
C1 0.0000 0.5000 0.5000 1
C2 0.5000 0.0000 0.5000 1
C3 0.5000 0.5000 0.0000 1
# Theoretical density ... 6.54 Mg/m³
# Crystal system ... cubic
# Calculated total energy ... -4.56 eV/atom
# Total magnetic moment ... 0.8 μB per cell

Record 3
# Ba2ReBr (PBEsol, relaxed)
data_Ba2ReBr
_cell_length_a 3.6117
_cell_length_b 5.3652
_cell_length_c 6.2867
_cell_angle_alpha 90.00
_cell_angle_beta 90.00
_cell_angle_gamma 90.00
_space_group_name_H-M_alt 'P 1'
_space_group_IT_number 1
loop_
_space_group_symop_operation_xyz
'x,y,z'
loop_
_atom_site_label
_atom_site_fract_x
_atom_site_fract_y
_atom_site_fract_z
_atom_site_occupancy
Ba1 0.0000 0.0000 0.0000 1
Ba2 0.5000 0.5000 0.5000 1
Re1 0.0000 0.0000 0.5000 1
Br1 0.5000 0.5000 0.0000 1
# Theoretical density ... 7.37 Mg/m³
# Crystal system ... orthorhombic
# ΔE to the lowest computed polymorph ... 0.0000 eV/atom
# Total magnetic moment ... 1.6 μB per cell

Record 4
# SrLi2Tl (PBEsol, relaxed)
data_SrLi2Tl
_cell_length_a 5.6346
_cell_length_b 5.6346
_cell_length_c 5.6346
_cell_angle_alpha 133.67
_cell_angle_beta 123.32
_cell_angle_gamma 76.12
_space_group_name_H-M_alt 'P 1'
_space_group_IT_number 1
loop_
_space_group_symop_operation_xyz
'x,y,z'
loop_
_atom_site_label
_atom_site_fract_x
_atom_site_fract_y
_atom_site_fract_z
_atom_site_occupancy
Sr1 0.0000 0.0000 0.0000 1
Li1 0.5004 0.5004 0.0000 1
Li2 0.7201 0.2201 0.5000 1
Tl1 0.2757 0.7757 0.5000 1
# Theoretical density ... 4.83 Mg/m³
# Crystal system ... orthorhombic
# Total magnetic moment ... 0.0 μB per cell
# Formation energy ... -18.5 kJ per mole of atoms

Record 5
# Ba3H12Ir2 (PBEsol, relaxed)
data_Ba3H12Ir2
_cell_length_a 5.4035
_cell_length_b 5.4035
_cell_length_c 8.5979
_cell_angle_alpha 90.00
_cell_angle_beta 90.00
_cell_angle_gamma 120.00
_space_group_name_H-M_alt 'P 1'
_space_group_IT_number 1
loop_
_space_group_symop_operation_xyz
'x,y,z'
loop_
_atom_site_label
_atom_site_fract_x
_atom_site_fract_y
_atom_site_fract_z
_atom_site_occupancy
Ba1 0.0000 0.0000 0.0000 1
Ba2 0.3333 0.6667 0.6409 1
Ba3 0.6667 0.3333 0.3591 1
H1 0.0522 0.5261 0.1179 1
H2 0.1821 0.3641 0.3448 1
H3 0.1821 0.8179 0.3448 1
H4 0.3641 0.1821 0.6552 1
H5 0.4739 0.5261 0.1179 1
H6 0.4739 0.9478 0.1179 1
H7 0.5261 0.0522 0.8821 1
H8 0.5261 0.4739 0.8821 1
H9 0.6359 0.8179 0.3448 1
H10 0.8179 0.1821 0.6552 1
H11 0.8179 0.6359 0.6552 1
H12 0.9478 0.4739 0.8821 1
Ir1 0.3333 0.6667 0.2365 1
Ir2 0.6667 0.3333 0.7635 1
# Theoretical density ... 6.18 Mg/m³
# Crystal system ... trigonal
# Calculated total energy ... -4.43 eV/atom
# Total magnetic moment ... 0.0 μB per cell

Record 6
# LuCoC (PBEsol, relaxed)
data_LuCoC
_cell_length_a 3.5478
_cell_length_b 3.5478
_cell_length_c 6.5299
_cell_angle_alpha 90.00
_cell_angle_beta 90.00
_cell_angle_gamma 90.00
_space_group_name_H-M_alt 'P 1'
_space_group_IT_number 1
loop_
_space_group_symop_operation_xyz
'x,y,z'
loop_
_atom_site_label
_atom_site_fract_x
_atom_site_fract_y
_atom_site_fract_z
_atom_site_occupancy
Lu1 0.0000 0.0000 0.2500 1
Lu2 0.0000 0.0000 0.7500 1
Co1 0.5000 0.5000 0.0000 1
Co2 0.5000 0.5000 0.5000 1
C1 0.0000 0.5000 0.0000 1
C2 0.5000 0.0000 0.5000 1
# Theoretical density ... 9.94 Mg/m³
# Crystal system ... tetragonal
# Total magnetic moment ... 0.6 μB per cell
# Formation energy ... -39.2 kJ per mole of atoms

Record 7
# Te2Au (PBEsol, relaxed)
data_Te2Au
_cell_length_a 7.0200
_cell_length_b 7.0200
_cell_length_c 7.8933
_cell_angle_alpha 102.25
_cell_angle_beta 102.25
_cell_angle_gamma 32.67
_space_group_name_H-M_alt 'P 1'
_space_group_IT_number 1
loop_
_space_group_symop_operation_xyz
'x,y,z'
loop_
_atom_site_label
_atom_site_fract_x
_atom_site_fract_y
_atom_site_fract_z
_atom_site_occupancy
Te1 0.0846 0.0846 0.4181 1
Te2 0.2573 0.2573 0.8424 1
Te3 0.7427 0.7427 0.1576 1
Te4 0.9154 0.9154 0.5819 1
Au1 0.3269 0.3269 0.3715 1
Au2 0.6731 0.6731 0.6285 1
# Theoretical density ... 7.33 Mg/m³
# Crystal system ... monoclinic
# Calculated total energy ... -3.63 eV/atom
# Total magnetic moment ... 0.0 μB per cell

Record 8
# Na2ScSiO5 (PBEsol, relaxed)
data_Na2ScSiO5
_cell_length_a 13.8047
_cell_length_b 5.3302
_cell_length_c 12.0515
_cell_angle_alpha 90.00
_cell_angle_beta 90.00
_cell_angle_gamma 90.00
_space_group_name_H-M_alt 'P 1'
_space_group_IT_number 1
loop_
_space_group_symop_operation_xyz
'x,y,z'
loop_
_atom_site_label
_atom_site_fract_x
_atom_site_fract_y
_atom_site_fract_z
_atom_site_occupancy
Na1 0.0081 0.0136 0.0000 1
Na2 0.1163 0.4892 0.4039 1
Na3 0.1330 0.0157 0.7568 1
Na4 0.2421 0.4851 0.1601 1
Na5 0.2579 0.4851 0.6601 1
Na6 0.3670 0.0157 0.2568 1
Na7 0.3837 0.4892 0.9039 1
Na8 0.4919 0.0136 0.5000 1
Na9 0.5081 0.9864 0.0000 1
Na10 0.6163 0.5108 0.4039 1
Na11 0.6330 0.9843 0.7568 1
Na12 0.7421 0.5149 0.1601 1
Na13 0.7579 0.5149 0.6601 1
Na14 0.8670 0.9843 0.2568 1
Na15 0.8837 0.5108 0.9039 1
Na16 0.9919 0.9864 0.5000 1
Sc1 0.0246 0.5259 0.6515 1
Sc2 0.2258 0.0243 0.5092 1
Sc3 0.2742 0.0243 0.0092 1
Sc4 0.4754 0.5259 0.1515 1
Sc5 0.5246 0.4741 0.6515 1
Sc6 0.7258 0.9757 0.5092 1
Sc7 0.7742 0.9757 0.0092 1
Sc8 0.9754 0.4741 0.1515 1
Si1 0.1169 0.9553 0.2406 1
Si2 0.1330 0.5412 0.9195 1
Si3 0.3670 0.5412 0.4195 1
Si4 0.3831 0.9553 0.7406 1
Si5 0.6169 0.0447 0.2406 1
Si6 0.6330 0.4588 0.9195 1
Si7 0.8670 0.4588 0.4195 1
Si8 0.8831 0.0447 0.7406 1
O1 0.0264 0.1274 0.1985 1
O2 0.0354 0.4673 0.9907 1
O3 0.0940 0.6560 0.2221 1
O4 0.1127 0.2435 0.5827 1
O5 0.1166 0.4864 0.7867 1
O6 0.1330 0.0015 0.3741 1
O7 0.1371 0.7434 0.5766 1
O8 0.1566 0.8409 0.9362 1
O9 0.2143 0.0321 0.1699 1
O10 0.2228 0.3708 0.9643 1
O11 0.2772 0.3708 0.4643 1
O12 0.2857 0.0321 0.6699 1
O13 0.3434 0.8409 0.4362 1
O14 0.3629 0.7434 0.0766 1
O15 0.3670 0.0015 0.8741 1
O16 0.3834 0.4864 0.2867 1
O17 0.3873 0.2435 0.0827 1
O18 0.4060 0.6560 0.7221 1
O19 0.4646 0.4673 0.4907 1
O20 0.4736 0.1274 0.6985 1
O21 0.5264 0.8726 0.1985 1
O22 0.5354 0.5327 0.9907 1
O23 0.5940 0.3440 0.2221 1
O24 0.6127 0.7565 0.5827 1
O25 0.6166 0.5136 0.7867 1
O26 0.6330 0.9985 0.3741 1
O27 0.6371 0.2566 0.5766 1
O28 0.6566 0.1591 0.9362 1
O29 0.7143 0.9679 0.1699 1
O30 0.7228 0.6292 0.9643 1
O31 0.7772 0.6292 0.4643 1
O32 0.7857 0.9679 0.6699 1
O33 0.8434 0.1591 0.4362 1
O34 0.8629 0.2566 0.0766 1
O35 0.8670 0.9985 0.8741 1
O36 0.8834 0.5136 0.2867 1
O37 0.8873 0.7565 0.0827 1
O38 0.9060 0.3440 0.7221 1
O39 0.9646 0.5327 0.4907 1
O40 0.9736 0.8726 0.6985 1
# Theoretical density ... 2.98 Mg/m³
# Crystal system ... orthorhombic
# Calculated total energy ... -7.07 eV/atom
# Total magnetic moment ... 8.3 μB per cell